# 1
RbSc3Sb: relaxed, PBE.

a = 5.062 Å, b = 5.062 Å, c = 5.062 Å
α = 90.00°, β = 90.00°, γ = 90.00°
Atoms (fractional coordinates):
Sc  0.000  0.000  0.500
Sc  0.000  0.500  0.000
Sc  0.500  0.000  0.000
Sb  0.500  0.500  0.500
Rb  0.000  0.000  0.000

- DOS(E_F): 0.730 states/eV per atom
- Spin magnetization: 0.000 μB/atom
- Space-group type: Pm-3m
- Uncorrected energy: -0.12906 Ha/atom
- Energy above the most stable polymorph in this dataset: 0.9701 eV per atom

---

# 2
RbSc2Sb2: relaxed, PBE.

a = 4.879 Å, b = 4.879 Å, c = 8.223 Å
α = 72.74°, β = 72.74°, γ = 90.00°
Atoms (fractional coordinates):
Sb  0.355  0.355  0.289
Sb  0.645  0.645  0.711
Sc  0.750  0.250  0.500
Sc  0.250  0.750  0.500
Rb  0.000  0.000  0.000

- DOS(E_F): 0.486 states/eV per atom
- Spin magnetization: 0.192 μB/atom
- Space-group type: I4/mmm
- Uncorrected energy: -0.18583 Ha/atom
- Energy above the most stable polymorph in this dataset: 0.0000 eV per atom

---

# 3
RbSc2Sb2: relaxed, PBE.

a = 5.587 Å, b = 5.587 Å, c = 6.881 Å
α = 66.05°, β = 66.05°, γ = 90.00°
Atoms (fractional coordinates):
Sc  0.320  0.320  0.360
Sc  0.680  0.680  0.640
Sb  0.250  0.750  0.500
Sb  0.750  0.250  0.500
Rb  0.000  0.000  0.000

- DOS(E_F): 0.035 states/eV per atom
- Spin magnetization: 0.200 μB/atom
- Space-group type: I4/mmm
- Uncorrected energy: -0.17617 Ha/atom
- Energy above the most stable polymorph in this dataset: 0.2627 eV per atom

---

# 4
Rb2ScSb2: relaxed, PBE.

a = 7.723 Å, b = 7.723 Å, c = 6.181 Å
α = 90.00°, β = 90.00°, γ = 90.00°
Atoms (fractional coordinates):
Sb  0.636  0.136  0.000
Sb  0.864  0.636  0.000
Sb  0.364  0.864  0.000
Sb  0.136  0.364  0.000
Sc  0.000  0.000  0.000
Sc  0.500  0.500  0.000
Rb  0.331  0.169  0.500
Rb  0.169  0.669  0.500
Rb  0.831  0.331  0.500
Rb  0.669  0.831  0.500

- DOS(E_F): 0.453 states/eV per atom
- Spin magnetization: 0.174 μB/atom
- Space-group type: P4/mbm
- Uncorrected energy: -0.13467 Ha/atom

---

# 5
Rb3ScSb2: relaxed, PBE.

a = 5.252 Å, b = 10.332 Å, c = 10.557 Å
α = 104.94°, β = 90.00°, γ = 104.72°
Atoms (fractional coordinates):
Rb  0.799  0.598  0.428
Rb  0.316  0.631  0.948
Rb  0.201  0.402  0.572
Rb  0.684  0.369  0.052
Rb  0.938  0.876  0.823
Rb  0.062  0.124  0.177
Sc  0.440  0.880  0.333
Sc  0.560  0.120  0.667
Sb  0.887  0.774  0.182
Sb  0.410  0.820  0.586
Sb  0.113  0.226  0.818
Sb  0.590  0.180  0.414

- Spin magnetization: 0.000 μB/atom
- Space-group type: C2/m
- Uncorrected energy: -0.12347 Ha/atom

---

# 6
RbScSb: relaxed, PBE.

a = 4.100 Å, b = 5.272 Å, c = 13.081 Å
α = 100.77°, β = 90.00°, γ = 112.89°
Atoms (fractional coordinates):
Sc  0.643  0.286  0.056
Sc  0.357  0.714  0.944
Rb  0.323  0.646  0.326
Rb  0.677  0.354  0.674
Sb  0.054  0.107  0.878
Sb  0.946  0.893  0.122

- DOS(E_F): 0.557 states/eV per atom
- Spin magnetization: 0.195 μB/atom
- Space-group type: C2/m
- Uncorrected energy: -0.15705 Ha/atom

---

# 7
RbSc2Sb2: relaxed, PBE.

a = 8.820 Å, b = 8.820 Å, c = 3.505 Å
α = 90.00°, β = 90.00°, γ = 90.00°
Atoms (fractional coordinates):
Sc  0.377  0.877  0.000
Sc  0.123  0.377  0.000
Sc  0.877  0.623  0.000
Sc  0.623  0.123  0.000
Sb  0.337  0.163  0.500
Sb  0.837  0.337  0.500
Sb  0.663  0.837  0.500
Sb  0.163  0.663  0.500
Rb  0.000  0.000  0.000
Rb  0.500  0.500  0.000

- DOS(E_F): 0.460 states/eV per atom
- Spin magnetization: 0.202 μB/atom
- Space-group type: P4/mbm
- Uncorrected energy: -0.17942 Ha/atom
- Energy above the most stable polymorph in this dataset: 0.1742 eV per atom

---

# 8
RbSc2Sb: relaxed, PBE.

a = 5.772 Å, b = 5.772 Å, c = 10.986 Å
α = 74.77°, β = 74.77°, γ = 90.00°
Atoms (fractional coordinates):
Sb  0.000  0.000  0.000
Sb  0.750  0.250  0.500
Sc  0.375  0.125  0.750
Sc  0.875  0.125  0.750
Sc  0.875  0.125  0.250
Sc  0.875  0.625  0.250
Rb  0.250  0.750  0.500
Rb  0.500  0.500  0.000

- DOS(E_F): 1.279 states/eV per atom
- Spin magnetization: 0.521 μB/atom
- Space-group type: I4_1/amd
- Uncorrected energy: -0.15371 Ha/atom

---

# 9
RbSc3Sb: relaxed, PBE.

a = 5.631 Å, b = 5.631 Å, c = 5.631 Å
α = 90.00°, β = 90.00°, γ = 90.00°
Atoms (fractional coordinates):
Sc  0.000  0.000  0.500
Sc  0.000  0.500  0.000
Sc  0.500  0.000  0.000
Sb  0.000  0.000  0.000
Rb  0.500  0.500  0.500

- DOS(E_F): 1.314 states/eV per atom
- Spin magnetization: 0.821 μB/atom
- Space-group type: Pm-3m
- Uncorrected energy: -0.16471 Ha/atom
- Energy above the most stable polymorph in this dataset: 0.0000 eV per atom

---

# 10
Rb3ScSb2Se6: relaxed, PBE.

a = 7.296 Å, b = 7.296 Å, c = 8.302 Å
α = 98.43°, β = 98.43°, γ = 119.99°
Atoms (fractional coordinates):
Se  0.745  0.745  0.193
Se  0.255  0.255  0.807
Se  0.383  0.064  0.191
Se  0.936  0.617  0.809
Se  0.617  0.936  0.809
Se  0.064  0.383  0.191
Rb  0.500  0.500  0.500
Rb  0.829  0.171  0.500
Rb  0.171  0.829  0.500
Sb  0.666  0.334  0.000
Sb  0.334  0.666  0.000
Sc  0.000  0.000  0.000

- Spin magnetization: 0.000 μB/atom
- Space-group type: C2/m
- Uncorrected energy: -0.15370 Ha/atom

---

# 11
Rb2ScSbSe4: relaxed, PBE.

a = 8.752 Å, b = 8.752 Å, c = 8.582 Å
α = 119.36°, β = 119.36°, γ = 89.92°
Atoms (fractional coordinates):
Se  0.225  0.275  0.028
Se  0.225  0.275  0.472
Se  0.191  0.719  0.955
Se  0.775  0.725  0.528
Se  0.781  0.309  0.545
Se  0.775  0.725  0.972
Se  0.219  0.691  0.455
Se  0.809  0.281  0.045
Rb  0.500  0.000  0.000
Rb  0.500  0.500  0.000
Rb  0.500  0.000  0.500
Rb  0.000  0.000  0.500
Sc  0.000  0.500  0.000
Sc  0.000  0.500  0.500
Sb  0.000  0.000  0.000
Sb  0.500  0.500  0.500

- Spin magnetization: 0.000 μB/atom
- Space-group type: Imma
- Uncorrected energy: -0.16042 Ha/atom

---

# 12
Rb2Sc2SbSe6: relaxed, PBE.

a = 6.926 Å, b = 6.926 Å, c = 8.524 Å
α = 97.67°, β = 97.67°, γ = 120.37°
Atoms (fractional coordinates):
Se  0.279  0.279  0.315
Se  0.937  0.599  0.314
Se  0.401  0.063  0.686
Se  0.721  0.721  0.685
Se  0.063  0.401  0.686
Se  0.599  0.937  0.314
Sb  0.000  0.000  0.500
Rb  0.165  0.835  0.000
Rb  0.835  0.165  0.000
Sc  0.668  0.332  0.500
Sc  0.332  0.668  0.500

- DOS(E_F): 0.324 states/eV per atom
- Spin magnetization: 0.000 μB/atom
- Space-group type: C2/m
- Uncorrected energy: -0.17721 Ha/atom

---

# 13
Rb3Sc3SbSe8: relaxed, PBE.

a = 8.008 Å, b = 8.009 Å, c = 9.322 Å
α = 115.46°, β = 90.00°, γ = 120.00°
Atoms (fractional coordinates):
Se  0.729  0.457  0.686
Se  0.767  0.045  0.313
Se  0.767  0.535  0.313
Se  0.271  0.543  0.314
Se  0.233  0.955  0.687
Se  0.722  0.955  0.687
Se  0.233  0.465  0.687
Se  0.278  0.045  0.313
Sb  0.000  0.000  0.500
Rb  0.000  0.500  0.000
Rb  0.000  0.000  0.000
Rb  0.500  0.500  0.000
Sc  0.000  0.500  0.500
Sc  0.500  0.000  0.500
Sc  0.500  0.500  0.500

- DOS(E_F): 0.144 states/eV per atom
- Spin magnetization: 0.000 μB/atom
- Space-group type: R-3m
- Uncorrected energy: -0.18088 Ha/atom

---

# 14
RbScSbTe2: relaxed, PBE.

a = 5.715 Å, b = 5.715 Å, c = 5.575 Å
α = 90.00°, β = 90.00°, γ = 90.00°
Atoms (fractional coordinates):
Sb  0.000  0.000  0.500
Rb  0.500  0.500  0.500
Te  0.000  0.500  0.000
Te  0.500  0.000  0.000
Sc  0.000  0.000  0.000

- DOS(E_F): 1.078 states/eV per atom
- Spin magnetization: 0.000 μB/atom
- Space-group type: P4/mmm
- Uncorrected energy: -0.15132 Ha/atom
- Energy above the most stable polymorph in this dataset: 0.0000 eV per atom

---

# 15
RbScSbTe2: relaxed, PBE.

a = 6.023 Å, b = 6.023 Å, c = 5.767 Å
α = 90.00°, β = 90.00°, γ = 90.00°
Atoms (fractional coordinates):
Sb  0.000  0.000  0.500
Te  0.500  0.000  0.000
Te  0.000  0.500  0.000
Rb  0.000  0.000  0.000
Sc  0.500  0.500  0.500

- DOS(E_F): 1.233 states/eV per atom
- Spin magnetization: 0.000 μB/atom
- Space-group type: P4/mmm
- Uncorrected energy: -0.09323 Ha/atom
- Energy above the most stable polymorph in this dataset: 1.5805 eV per atom

---

# 16
Rb2Sc2SbTe2: relaxed, PBE.

a = 5.405 Å, b = 5.405 Å, c = 9.913 Å
α = 105.82°, β = 105.82°, γ = 90.00°
Atoms (fractional coordinates):
Rb  0.813  0.813  0.625
Rb  0.187  0.187  0.375
Sb  0.000  0.000  0.000
Te  0.395  0.395  0.789
Te  0.605  0.605  0.211
Sc  0.000  0.500  0.000
Sc  0.500  0.000  0.000

- DOS(E_F): 0.599 states/eV per atom
- Spin magnetization: 0.079 μB/atom
- Space-group type: I4/mmm
- Uncorrected energy: -0.16022 Ha/atom

---

# 17
RbYSc2Sb: relaxed, PBE.

a = 5.627 Å, b = 5.944 Å, c = 5.627 Å
α = 90.00°, β = 90.00°, γ = 90.00°
Atoms (fractional coordinates):
Sc  0.500  0.000  0.000
Sc  0.000  0.000  0.500
Y  0.000  0.500  0.000
Sb  0.000  0.000  0.000
Rb  0.500  0.500  0.500

- DOS(E_F): 1.277 states/eV per atom
- Spin magnetization: 0.757 μB/atom
- Space-group type: P4/mmm
- Uncorrected energy: -0.16761 Ha/atom

---

# 18
Rb5Sb2Se5: relaxed, PBE.

a = 5.049 Å, b = 7.746 Å, c = 13.190 Å
α = 107.30°, β = 90.00°, γ = 109.02°
Atoms (fractional coordinates):
Rb  0.659  0.318  0.055
Rb  0.246  0.492  0.645
Rb  0.341  0.682  0.945
Rb  0.500  0.000  0.500
Rb  0.754  0.508  0.355
Se  0.363  0.727  0.216
Se  0.896  0.792  0.616
Se  0.637  0.273  0.784
Se  0.104  0.208  0.384
Se  0.000  0.000  0.000
Sb  0.043  0.087  0.793
Sb  0.957  0.913  0.207

- DOS(E_F): 0.098 states/eV per atom
- Spin magnetization: 0.000 μB/atom
- Space-group type: C2/m
- Uncorrected energy: -0.12262 Ha/atom

---

# 19
RbSb4Se6: relaxed, PBE.

a = 8.004 Å, b = 8.004 Å, c = 8.004 Å
α = 81.38°, β = 125.10°, γ = 125.10°
Atoms (fractional coordinates):
Se  0.000  0.883  0.514
Se  0.500  0.500  0.000
Se  0.000  0.514  0.883
Se  0.369  0.486  0.486
Se  0.631  0.117  0.117
Se  0.500  0.000  0.500
Rb  0.000  0.000  0.000
Sb  0.340  0.785  0.785
Sb  0.660  0.445  0.445
Sb  0.000  0.215  0.555
Sb  0.000  0.555  0.215

- DOS(E_F): 0.290 states/eV per atom
- Spin magnetization: 0.000 μB/atom
- Space-group type: I-42m
- Uncorrected energy: -0.13623 Ha/atom
- Energy above the most stable polymorph in this dataset: 0.1526 eV per atom

---

# 20
Rb2SbSe6: relaxed, PBE.

a = 5.426 Å, b = 8.929 Å, c = 7.561 Å
α = 126.19°, β = 83.11°, γ = 90.00°
Atoms (fractional coordinates):
Se  0.891  0.099  0.704
Se  0.500  0.813  0.000
Se  0.109  0.395  0.296
Se  0.109  0.901  0.296
Se  0.500  0.187  0.000
Se  0.891  0.605  0.704
Sb  0.000  0.000  0.000
Rb  0.406  0.315  0.631
Rb  0.594  0.685  0.369

- DOS(E_F): 0.411 states/eV per atom
- Spin magnetization: 0.000 μB/atom
- Space-group type: C2/m
- Uncorrected energy: -0.12467 Ha/atom

---

# 21
RbSbSe3: relaxed, PBE.

a = 5.367 Å, b = 6.461 Å, c = 9.923 Å
α = 90.00°, β = 90.16°, γ = 90.00°
Atoms (fractional coordinates):
Rb  0.248  0.474  0.700
Rb  0.752  0.974  0.300
Se  0.508  0.475  0.352
Se  0.005  0.975  0.648
Se  0.492  0.975  0.648
Se  0.750  0.359  0.946
Se  0.995  0.475  0.352
Se  0.250  0.859  0.054
Sb  0.251  0.467  0.115
Sb  0.749  0.967  0.885

- DOS(E_F): 0.842 states/eV per atom
- Spin magnetization: 0.000 μB/atom
- Space-group type: P2_1
- Uncorrected energy: -0.13242 Ha/atom
- Energy above the most stable polymorph in this dataset: 0.0000 eV per atom

---

# 22
RbSbSe3: relaxed, PBE.

a = 7.284 Å, b = 7.284 Å, c = 7.284 Å
α = 66.62°, β = 66.62°, γ = 66.62°
Atoms (fractional coordinates):
Se  0.814  0.244  0.674
Se  0.244  0.674  0.814
Se  0.744  0.314  0.174
Se  0.314  0.174  0.744
Se  0.674  0.814  0.244
Se  0.174  0.744  0.314
Sb  0.996  0.996  0.996
Sb  0.496  0.496  0.496
Rb  0.244  0.244  0.244
Rb  0.744  0.744  0.744

- DOS(E_F): 0.844 states/eV per atom
- Spin magnetization: 0.000 μB/atom
- Space-group type: R3c
- Uncorrected energy: -0.12541 Ha/atom
- Energy above the most stable polymorph in this dataset: 0.1908 eV per atom

---

# 23
Rb3Sb2Se4: relaxed, PBE.

a = 7.329 Å, b = 9.895 Å, c = 9.895 Å
α = 81.95°, β = 86.29°, γ = 86.29°
Atoms (fractional coordinates):
Rb  0.750  0.379  0.621
Rb  0.398  0.251  0.996
Rb  0.602  0.749  0.004
Rb  0.898  0.996  0.251
Rb  0.102  0.004  0.749
Rb  0.250  0.621  0.379
Se  0.113  0.769  0.038
Se  0.387  0.962  0.231
Se  0.087  0.267  0.376
Se  0.587  0.376  0.267
Se  0.613  0.038  0.769
Se  0.887  0.231  0.962
Se  0.413  0.624  0.733
Se  0.913  0.733  0.624
Sb  0.097  0.597  0.870
Sb  0.597  0.870  0.597
Sb  0.403  0.130  0.403
Sb  0.903  0.403  0.130

- DOS(E_F): 0.363 states/eV per atom
- Spin magnetization: 0.000 μB/atom
- Space-group type: C2/c
- Uncorrected energy: -0.12834 Ha/atom
- Energy above the most stable polymorph in this dataset: 0.0438 eV per atom